# AcTmMo2O8 PBE with a Hubbard U optimized geometry
data_AcTmMo2O8
_space_group_name_H-M_alt 'P 1'
_space_group_IT_number 1
_cell_length_a 6.9178
_cell_length_b 6.9178
_cell_length_c 6.9178
_cell_angle_alpha 134.20
_cell_angle_beta 134.20
_cell_angle_gamma 66.77
loop_
_space_group_symop_operation_xyz
'x,y,z'
loop_
_atom_site_label
_atom_site_fract_x
_atom_site_fract_y
_atom_site_fract_z
Ac1 0.0000 0.0000 0.0000
Tm1 0.2500 0.7500 0.5000
Mo1 0.5000 0.5000 0.0000
Mo2 0.7500 0.2500 0.5000
O1 0.0238 0.0718 0.4311
O2 0.2592 0.6484 0.0814
O3 0.3516 0.4330 0.6108
O4 0.4073 0.9762 0.0480
O5 0.5670 0.1778 0.9186
O6 0.6407 0.5927 0.5689
O7 0.8222 0.7408 0.3892
O8 0.9282 0.3593 0.9520
# Uncorrected energy in eV/atom: -7.62